No. 1
# Sr2Li3HgBi4 GGA-PBE relaxed
# Symmetry: P-4m2, No. 115
# Size of the total moment: 0.00 μB/f.u.
# Formation energy from the elements: -549 kJ/mol of formula units
# V: 28.4 Å³ per atom
data_Sr2Li3HgBi4
_symmetry_space_group_name_H-M 'P 1'
_symmetry_Int_Tables_number 1
_cell_length_a 4.8576
_cell_length_b 4.8576
_cell_length_c 12.0287
_cell_angle_alpha 90.00
_cell_angle_beta 90.00
_cell_angle_gamma 90.00
loop_
_symmetry_equiv_pos_as_xyz
'x,y,z'
loop_
_atom_site_label
_atom_site_type_symbol
_atom_site_fract_x
_atom_site_fract_y
_atom_site_fract_z
Sr1 Sr 0.0000 0.5000 0.2415
Sr2 Sr 0.5000 0.0000 0.7585
Li1 Li 0.0000 0.5000 0.8737
Li2 Li 0.5000 0.0000 0.1263
Li3 Li 0.5000 0.5000 0.5000
Hg1 Hg 0.0000 0.0000 0.5000
Bi1 Bi 0.0000 0.0000 0.0000
Bi2 Bi 0.0000 0.5000 0.6491
Bi3 Bi 0.5000 0.0000 0.3509
Bi4 Bi 0.5000 0.5000 0.0000

=====

No. 2
# Sr2LiHgBi GGA-PBE relaxed
# Symmetry: P4/mmm, No. 123
# Size of the total moment: 0.00 μB/f.u.
# Formation energy from the elements: -117 kJ/mol of formula units
# V: 33.7 Å³ per atom
data_Sr2LiHgBi
_symmetry_space_group_name_H-M 'P 1'
_symmetry_Int_Tables_number 1
_cell_length_a 5.9200
_cell_length_b 5.9200
_cell_length_c 4.8061
_cell_angle_alpha 90.00
_cell_angle_beta 90.00
_cell_angle_gamma 90.00
loop_
_symmetry_equiv_pos_as_xyz
'x,y,z'
loop_
_atom_site_label
_atom_site_type_symbol
_atom_site_fract_x
_atom_site_fract_y
_atom_site_fract_z
Sr1 Sr 0.0000 0.5000 0.0000
Sr2 Sr 0.5000 0.0000 0.0000
Li1 Li 0.0000 0.0000 0.0000
Hg1 Hg 0.0000 0.0000 0.5000
Bi1 Bi 0.5000 0.5000 0.5000

=====

No. 3
# SrLi2Hg2Bi2 GGA-PBE relaxed
# Symmetry: R-3m, No. 166
# Size of the total moment: 0.00 μB/f.u.
# Formation energy from the elements: -298 kJ/mol of formula units
# V: 27.2 Å³ per atom
data_SrLi2Hg2Bi2
_symmetry_space_group_name_H-M 'P 1'
_symmetry_Int_Tables_number 1
_cell_length_a 9.6280
_cell_length_b 9.6280
_cell_length_c 9.6280
_cell_angle_alpha 29.40
_cell_angle_beta 29.40
_cell_angle_gamma 29.40
loop_
_symmetry_equiv_pos_as_xyz
'x,y,z'
loop_
_atom_site_label
_atom_site_type_symbol
_atom_site_fract_x
_atom_site_fract_y
_atom_site_fract_z
Sr1 Sr 0.0000 0.0000 0.0000
Li1 Li 0.1428 0.1428 0.1428
Li2 Li 0.8572 0.8572 0.8572
Hg1 Hg 0.4488 0.4488 0.4488
Hg2 Hg 0.5512 0.5512 0.5512
Bi1 Bi 0.2600 0.2600 0.2600
Bi2 Bi 0.7400 0.7400 0.7400

=====

No. 4
# LiHg2BiTe GGA-PBE relaxed
# Symmetry: P4/mmm, No. 123
# Size of the total moment: 0.41 μB/f.u.
# ΔE_f (raw): 18 kJ per mole of atoms
# V: 35.1 Å³ per atom
data_LiHg2BiTe
_symmetry_space_group_name_H-M 'P 1'
_symmetry_Int_Tables_number 1
_cell_length_a 5.7363
_cell_length_b 5.7363
_cell_length_c 5.3304
_cell_angle_alpha 90.00
_cell_angle_beta 90.00
_cell_angle_gamma 90.00
loop_
_symmetry_equiv_pos_as_xyz
'x,y,z'
loop_
_atom_site_label
_atom_site_type_symbol
_atom_site_fract_x
_atom_site_fract_y
_atom_site_fract_z
Li1 Li 0.0000 0.0000 0.0000
Hg1 Hg 0.0000 0.5000 0.5000
Hg2 Hg 0.5000 0.0000 0.5000
Bi1 Bi 0.0000 0.0000 0.5000
Te1 Te 0.5000 0.5000 0.0000

=====

No. 5
# Li2TlHg2Bi2 GGA-PBE relaxed
# Symmetry: R-3m, No. 166
# Size of the total moment: 0.00 μB/f.u.
# Formation energy from the elements: -132 kJ/mol of formula units
# V: 27.0 Å³ per atom
data_Li2TlHg2Bi2
_symmetry_space_group_name_H-M 'P 1'
_symmetry_Int_Tables_number 1
_cell_length_a 9.4125
_cell_length_b 9.4125
_cell_length_c 9.4125
_cell_angle_alpha 30.40
_cell_angle_beta 30.40
_cell_angle_gamma 30.40
loop_
_symmetry_equiv_pos_as_xyz
'x,y,z'
loop_
_atom_site_label
_atom_site_type_symbol
_atom_site_fract_x
_atom_site_fract_y
_atom_site_fract_z
Li1 Li 0.1385 0.1385 0.1385
Li2 Li 0.8615 0.8615 0.8615
Tl1 Tl 0.0000 0.0000 0.0000
Hg1 Hg 0.4453 0.4453 0.4453
Hg2 Hg 0.5547 0.5547 0.5547
Bi1 Bi 0.2573 0.2573 0.2573
Bi2 Bi 0.7427 0.7427 0.7427

=====

No. 6
# LiTmHgBi GGA-PBE relaxed
# Symmetry: F-43m, No. 216
# Size of the total moment: 0.00 μB/f.u.
# Formation energy from the elements: -166 kJ/mol of formula units
# V: 24.7 Å³ per atom
data_LiTmHgBi
_symmetry_space_group_name_H-M 'P 1'
_symmetry_Int_Tables_number 1
_cell_length_a 5.1871
_cell_length_b 5.1871
_cell_length_c 5.1871
_cell_angle_alpha 60.00
_cell_angle_beta 60.00
_cell_angle_gamma 60.00
loop_
_symmetry_equiv_pos_as_xyz
'x,y,z'
loop_
_atom_site_label
_atom_site_type_symbol
_atom_site_fract_x
_atom_site_fract_y
_atom_site_fract_z
Li1 Li 0.0000 0.0000 0.0000
Tm1 Tm 0.5000 0.5000 0.5000
Hg1 Hg 0.2500 0.2500 0.2500
Bi1 Bi 0.7500 0.7500 0.7500

=====

No. 7
# LiZrHgBi GGA-PBE relaxed
# Symmetry: F-43m, No. 216
# Size of the total moment: 1.09 μB/f.u.
# Formation energy from the elements: -46 kJ/mol of formula units
# V: 22.9 Å³ per atom
data_LiZrHgBi
_symmetry_space_group_name_H-M 'P 1'
_symmetry_Int_Tables_number 1
_cell_length_a 5.0575
_cell_length_b 5.0575
_cell_length_c 5.0575
_cell_angle_alpha 60.00
_cell_angle_beta 60.00
_cell_angle_gamma 60.00
loop_
_symmetry_equiv_pos_as_xyz
'x,y,z'
loop_
_atom_site_label
_atom_site_type_symbol
_atom_site_fract_x
_atom_site_fract_y
_atom_site_fract_z
Li1 Li 0.0000 0.0000 0.0000
Zr1 Zr 0.5000 0.5000 0.5000
Hg1 Hg 0.2500 0.2500 0.2500
Bi1 Bi 0.7500 0.7500 0.7500

=====

No. 8
# NdLuHgBi GGA-PBE relaxed
# Symmetry: F-43m, No. 216
# Size of the total moment: 0.00 μB/f.u.
# Formation energy from the elements: -182 kJ/mol of formula units
# V: 28.1 Å³ per atom
data_NdLuHgBi
_symmetry_space_group_name_H-M 'P 1'
_symmetry_Int_Tables_number 1
_cell_length_a 5.4201
_cell_length_b 5.4201
_cell_length_c 5.4201
_cell_angle_alpha 60.00
_cell_angle_beta 60.00
_cell_angle_gamma 60.00
loop_
_symmetry_equiv_pos_as_xyz
'x,y,z'
loop_
_atom_site_label
_atom_site_type_symbol
_atom_site_fract_x
_atom_site_fract_y
_atom_site_fract_z
Nd1 Nd 0.0000 0.0000 0.0000
Lu1 Lu 0.5000 0.5000 0.5000
Hg1 Hg 0.2500 0.2500 0.2500
Bi1 Bi 0.7500 0.7500 0.7500

=====

no.,Fermi-level density of states (states/eV/atom)
1,0.13
2,0.36
3,0.11
4,1.17
5,0.49
6,0.72
7,1.15
8,1.13